VASP calculation (PBE) on an optimized crystal structure of Cr2HgPt9.

CIF file:
```
data_Cr2HgPt9
_cell_length_a 3.951
_cell_length_b 3.951
_cell_length_c 12.002
_cell_angle_alpha 90.00
_cell_angle_beta 90.00
_cell_angle_gamma 90.00
_symmetry_space_group_name_H-M 'P 4/m m m'
_symmetry_Int_Tables_number 123
_symmetry_space_group_name_Hall '-P 4 2'
loop_
_atom_site_label
_atom_site_type_symbol
_atom_site_fract_x
_atom_site_fract_y
_atom_site_fract_z
Cr1 Cr 0.000 0.000 0.163
Hg1 Hg 0.000 0.000 0.500
Pt1 Pt 0.000 0.500 0.000
Pt2 Pt 0.000 0.500 0.319
Pt3 Pt 0.500 0.500 0.160
Pt4 Pt 0.500 0.500 0.500
```

Results
E_form   -175 meV/atom
DOS at the Fermi energy   15.816 states/eV/cell
Energy   -76.0 eV/f.u.

VASP calculation (PBE) on an optimized crystal structure of CrHgPt2.

CIF file:
```
data_CrHgPt2
_cell_length_a 4.107
_cell_length_b 4.107
_cell_length_c 7.810
_cell_angle_alpha 90.00
_cell_angle_beta 90.00
_cell_angle_gamma 90.00
_symmetry_space_group_name_H-M 'I 4/m m m'
_symmetry_Int_Tables_number 139
_symmetry_space_group_name_Hall '-I 4 2'
loop_
_atom_site_label
_atom_site_type_symbol
_atom_site_fract_x
_atom_site_fract_y
_atom_site_fract_z
Cr1 Cr 0.000 0.000 0.000
Hg1 Hg 0.000 0.000 0.500
Pt1 Pt 0.000 0.500 0.250
```

Results
E_form   -36 meV/atom
DOS at the Fermi energy   8.552 states/eV/cell
Energy   -22.2 eV/f.u.

VASP calculation (PBE) on an optimized crystal structure of CrHg2Pt.

CIF file:
```
data_CrHg2Pt
_cell_length_a 8.668
_cell_length_b 2.990
_cell_length_c 6.105
_cell_angle_alpha 90.00
_cell_angle_beta 99.13
_cell_angle_gamma 90.00
_symmetry_space_group_name_H-M 'C 1 m 1'
_symmetry_Int_Tables_number 8
loop_
_symmetry_equiv_pos_as_xyz
'x,y,z'
'x,-y,z'
'x+1/2,y+1/2,z'
'x+1/2,-y+1/2,z'
loop_
_atom_site_label
_atom_site_type_symbol
_atom_site_fract_x
_atom_site_fract_y
_atom_site_fract_z
Cr1 Cr 0.000 0.000 0.000
Hg1 Hg 0.253 0.000 0.741
Hg2 Hg 0.489 0.000 0.440
Pt1 Pt 0.235 0.500 0.175
```

Results
E_form   242 meV/atom
DOS at the Fermi energy   4.495 states/eV/cell
Energy   -15.3 eV/f.u.

VASP calculation (PBE) on an optimized crystal structure of CrHgPt2.

CIF file:
```
data_CrHgPt2
_cell_length_a 6.456
_cell_length_b 6.456
_cell_length_c 6.456
_cell_angle_alpha 90.00
_cell_angle_beta 90.00
_cell_angle_gamma 90.00
_symmetry_space_group_name_H-M 'F -4 3 m'
_symmetry_Int_Tables_number 216
_symmetry_space_group_name_Hall 'F -4 2 3'
loop_
_atom_site_label
_atom_site_type_symbol
_atom_site_fract_x
_atom_site_fract_y
_atom_site_fract_z
Cr1 Cr 0.000 0.000 0.000
Hg1 Hg 0.250 0.250 0.750
Pt1 Pt 0.000 0.000 0.500
Pt2 Pt 0.250 0.250 0.250
```

Results
E_form   116 meV/atom
DOS at the Fermi energy   19.215 states/eV/cell
Energy   -21.5 eV/f.u.